# CeLuOs

A geometry-optimized CeLuOs structure (PBE, the Alexandria database).

Lattice parameters (Å, degrees): 4.763 4.763 4.763 60.00 60.00 60.00
Last column: magnetic moment on the atom in μB.
Fractional positions:
Lu: 0.000 0.000 0.000  0.03
Os: 0.250 0.250 0.250  -0.03
Ce: 0.500 0.500 0.500  0.51

As for the space-group type: F-43m (216). Its crystal system is cubic. The value obtained for the formation energy is -0.1737 eV per atom. The calculation puts the density of states at the Fermi level at 5.84 states/eV/cell. For the magnetic moment, the calculation gives 0.210 μB per atom. The value obtained for the energy relative to the lowest polymorph listed for this composition is 0 meV/atom.

***

# GdZrFeNi

A geometry-optimized GdZrFeNi structure (PBE, the Alexandria database).

Lattice parameters (Å, degrees): 4.651 4.651 4.651 60.00 60.00 60.00
Last column: magnetic moment on the atom in μB.
Fractional positions:
Ni: 0.500 0.500 0.500  -0.01
Gd: 0.250 0.250 0.250  7.13
Fe: 0.000 0.000 0.000  -1.05
Zr: 0.750 0.750 0.750  0.28

As for the space-group type: F-43m (216). Its crystal system is cubic. The value obtained for the formation energy is -0.1003 eV per atom. The calculation puts the density of states at the Fermi level at 3.60 states/eV/cell. For the magnetic moment, the calculation gives 1.663 μB per atom.

***

# FeNiTe

A geometry-optimized FeNiTe structure (PBE, the Alexandria database).

Lattice parameters (Å, degrees): 4.038 6.993 10.538 131.68 125.22 30.05
Last column: magnetic moment on the atom in μB.
Fractional positions:
Fe: 0.500 0.217 0.550  2.55
Fe: 0.500 0.783 0.450  2.55
Ni: 0.499 0.342 0.342  0.26
Ni: 0.501 0.658 0.658  0.26
Te: 0.497 0.878 0.211  -0.01
Te: 0.503 0.122 0.789  -0.01

As for the space-group type: P-1 (2). Its crystal system is triclinic. The raw formation energy comes out at -0.103 eV per atom. The calculation puts the density of states at the Fermi level at 4.34 states/eV/cell. For the magnetic moment, the calculation gives 0.930 μB per atom.

***

# Na2NdSeO4

A geometry-optimized Na2NdSeO4 structure (PBE, the Alexandria database).

Lattice parameters (Å, degrees): 5.348 5.348 5.348 104.83 111.84 111.84
Last column: magnetic moment on the atom in μB.
Fractional positions:
Na: 0.500 0.750 0.250  0.00
Na: 0.000 0.000 0.000  0.00
Nd: 0.500 0.250 0.750  0.00
Se: 0.000 0.500 0.500  0.27
O: 0.531 0.238 0.323  0.10
O: 0.085 0.293 0.762  0.10
O: 0.915 0.677 0.208  0.10
O: 0.469 0.792 0.707  0.10

As for the space-group type: I-4 (82). Its crystal system is tetragonal. The raw formation energy comes out at -1.655 eV per atom. The calculation puts the density of states at the Fermi level at 2.54 states/eV/cell. For the magnetic moment, the calculation gives 0.117 μB per atom.

***

# CuPd2Pt3

A geometry-optimized CuPd2Pt3 structure (PBE, the Alexandria database).

Lattice parameters (Å, degrees): 4.823 5.549 7.298 112.34 89.72 90.00
Fractional positions:
Cu: 0.750 0.873 0.000
Cu: 0.250 0.127 0.000
Pd: 0.580 0.960 0.674
Pd: 0.080 0.714 0.674
Pd: 0.920 0.286 0.326
Pd: 0.420 0.040 0.326
Pt: 0.250 0.632 0.000
Pt: 0.750 0.368 0.000
Pt: 0.920 0.791 0.330
Pt: 0.580 0.460 0.670
Pt: 0.420 0.540 0.330
Pt: 0.080 0.209 0.670

As for the space-group type: C2/c (15). Its crystal system is monoclinic. The value obtained for the formation energy is -0.0758 eV per atom. The calculation puts the density of states at the Fermi level at 16.88 states/eV/cell. For the magnetic moment, the calculation gives 0.000 μB per atom. The value obtained for the energy relative to the lowest polymorph listed for this composition is 0 meV/atom.

***

# Ti3Re2Rh

A geometry-optimized Ti3Re2Rh structure (PBE, the Alexandria database).

Lattice parameters (Å, degrees): 3.112 3.112 9.363 90.00 90.00 90.00
Fractional positions:
Ti: 0.000 0.000 0.000
Ti: 0.000 0.000 0.672
Ti: 0.000 0.000 0.328
Re: 0.500 0.500 0.831
Re: 0.500 0.500 0.169
Rh: 0.500 0.500 0.500

As for the space-group type: P4/mmm (123). Its crystal system is tetragonal. The value obtained for the formation energy is -0.5884 eV per atom. The calculation puts the density of states at the Fermi level at 3.57 states/eV/cell. For the magnetic moment, the calculation gives 0.000 μB per atom.